# 1
## YPaPdO6 (GGA-PBE)

Data for crystalline YPaPdO6 at its relaxed geometry.

Output
Raw total energy (eV per cell): -72.71
Spin magnetization (μB/cell): 0.0
Raw formation energy (eV per atom): -2.4234

The structure in CIF format:
```
data_YPaPdO6
_symmetry_space_group_name_H-M 'P 1'
_symmetry_Int_Tables_number 1
_cell_length_a 4.8914
_cell_length_b 5.3946
_cell_length_c 5.3946
_cell_angle_alpha 120.00
_cell_angle_beta 90.00
_cell_angle_gamma 90.00
loop_
_symmetry_equiv_pos_as_xyz
'x,y,z'
loop_
_atom_site_label
_atom_site_type_symbol
_atom_site_fract_x
_atom_site_fract_y
_atom_site_fract_z
Pa1 Pa 0.0000 0.3333 0.6667
O1 O 0.7411 0.0172 0.3209
O2 O 0.2589 0.6791 0.9828
O3 O 0.2589 0.3037 0.3209
O4 O 0.7411 0.6791 0.6963
O5 O 0.2589 0.0172 0.6963
Pd1 Pd 0.5000 0.0000 0.0000
Y1 Y 0.5000 0.6667 0.3333
O6 O 0.7411 0.3037 0.9828
```

***

# 2
## PaZnPdO4 (GGA-PBE)

Data for crystalline PaZnPdO4 at its relaxed geometry.

Output
Raw total energy (eV per cell): -99.72
DOS(E_F) (states/eV per atom): 0.1617
Spin magnetization (μB/cell): 1.8
Raw formation energy (eV per atom): -2.0093

The structure in CIF format:
```
data_PaZnPdO4
_symmetry_space_group_name_H-M 'P 1'
_symmetry_Int_Tables_number 1
_cell_length_a 6.1204
_cell_length_b 6.4937
_cell_length_c 6.4937
_cell_angle_alpha 70.88
_cell_angle_beta 61.88
_cell_angle_gamma 61.88
loop_
_symmetry_equiv_pos_as_xyz
'x,y,z'
loop_
_atom_site_label
_atom_site_type_symbol
_atom_site_fract_x
_atom_site_fract_y
_atom_site_fract_z
O1 O 0.2245 0.7548 0.2548
Pd1 Pd 0.5000 0.0000 0.5000
Pa1 Pa 0.0000 0.0000 0.0000
O2 O 0.7662 0.6919 0.7756
O3 O 0.7659 0.7548 0.2548
O4 O 0.2338 0.3081 0.2244
Zn1 Zn 0.6284 0.6216 0.1216
O5 O 0.7662 0.2756 0.1919
O6 O 0.2341 0.2452 0.7452
Pa2 Pa 0.0000 0.5000 0.5000
O7 O 0.2338 0.7244 0.8081
Pd2 Pd 0.0000 0.0000 0.5000
Zn2 Zn 0.3716 0.3784 0.8784
O8 O 0.7755 0.2452 0.7452
```

***

# 3
## ZrPaPd2O8 (GGA-PBE)

Data for crystalline ZrPaPd2O8 at its relaxed geometry.

Output
Raw total energy (eV per cell): -88.97
DOS(E_F) (states/eV per atom): 0.5705
Spin magnetization (μB/cell): 0.5
Raw formation energy (eV per atom): -1.7395

The structure in CIF format:
```
data_ZrPaPd2O8
_symmetry_space_group_name_H-M 'P 1'
_symmetry_Int_Tables_number 1
_cell_length_a 5.9978
_cell_length_b 5.9978
_cell_length_c 5.9978
_cell_angle_alpha 109.58
_cell_angle_beta 109.58
_cell_angle_gamma 109.26
loop_
_symmetry_equiv_pos_as_xyz
'x,y,z'
loop_
_atom_site_label
_atom_site_type_symbol
_atom_site_fract_x
_atom_site_fract_y
_atom_site_fract_z
O1 O 0.9021 0.7185 0.1836
O2 O 0.9775 0.3017 0.3242
O3 O 0.2815 0.0979 0.8164
O4 O 0.2815 0.4651 0.1836
O5 O 0.9775 0.6533 0.6758
Pa1 Pa 0.0000 0.0000 0.0000
O6 O 0.3467 0.0225 0.3242
O7 O 0.6983 0.0225 0.6758
O8 O 0.5349 0.7185 0.8164
Pd1 Pd 0.5000 0.5000 0.0000
Zr1 Zr 0.2500 0.7500 0.5000
Pd2 Pd 0.7500 0.2500 0.5000
```

***

# 4
## PmPaO6 (GGA-PBE)

Data for crystalline PmPaO6 at its relaxed geometry.

Output
Raw total energy (eV per cell): -60.19
DOS(E_F) (states/eV per atom): 0.9508
Spin magnetization (μB/cell): 0.0
Raw formation energy (eV per atom): -2.0238

The structure in CIF format:
```
data_PmPaO6
_symmetry_space_group_name_H-M 'P 1'
_symmetry_Int_Tables_number 1
_cell_length_a 6.0992
_cell_length_b 6.0992
_cell_length_c 6.0992
_cell_angle_alpha 60.00
_cell_angle_beta 60.00
_cell_angle_gamma 60.00
loop_
_symmetry_equiv_pos_as_xyz
'x,y,z'
loop_
_atom_site_label
_atom_site_type_symbol
_atom_site_fract_x
_atom_site_fract_y
_atom_site_fract_z
Pa1 Pa 0.5000 0.5000 0.5000
O1 O 0.2678 0.2678 0.7322
O2 O 0.7322 0.2678 0.7322
O3 O 0.7322 0.2678 0.2678
O4 O 0.2678 0.7322 0.7322
O5 O 0.7322 0.7322 0.2678
O6 O 0.2678 0.7322 0.2678
Pm1 Pm 0.0000 0.0000 0.0000
```

***

# 5
## Pm5Pa2O12 (GGA-PBE)

Data for crystalline Pm5Pa2O12 at its relaxed geometry.

Output
Raw total energy (eV per cell): -166.48
DOS(E_F) (states/eV per atom): 0.1661
Spin magnetization (μB/cell): 1.0
Raw formation energy (eV per atom): -3.3809

The structure in CIF format:
```
data_Pm5Pa2O12
_symmetry_space_group_name_H-M 'P 1'
_symmetry_Int_Tables_number 1
_cell_length_a 6.3866
_cell_length_b 7.2258
_cell_length_c 7.8525
_cell_angle_alpha 105.78
_cell_angle_beta 90.00
_cell_angle_gamma 116.23
loop_
_symmetry_equiv_pos_as_xyz
'x,y,z'
loop_
_atom_site_label
_atom_site_type_symbol
_atom_site_fract_x
_atom_site_fract_y
_atom_site_fract_z
O1 O 0.5917 0.6893 0.4285
O2 O 0.5038 0.0076 0.8146
O3 O 0.4962 0.9924 0.1854
Pa1 Pa 0.7648 0.0000 0.0000
O4 O 0.9024 0.3107 0.5715
O5 O 0.0044 0.0088 0.7921
O6 O 0.4083 0.3107 0.5715
O7 O 0.0971 0.6555 0.9059
Pm1 Pm 0.0000 0.0000 0.5000
O8 O 0.0976 0.6893 0.4285
O9 O 0.5583 0.6555 0.9059
Pm2 Pm 0.7046 0.4093 0.3662
Pm3 Pm 0.6940 0.3881 0.8186
Pm4 Pm 0.3060 0.6119 0.1814
Pa2 Pa 0.2352 0.0000 0.0000
O10 O 0.9956 0.9912 0.2079
Pm5 Pm 0.2954 0.5907 0.6338
O11 O 0.9029 0.3445 0.0941
O12 O 0.4417 0.3445 0.0941
```

***

# 6
## PmPa2O6 (GGA-PBE)

Data for crystalline PmPa2O6 at its relaxed geometry.

Output
Raw total energy (eV per cell): -86.31
DOS(E_F) (states/eV per atom): 0.6604
Spin magnetization (μB/cell): 1.1
Raw formation energy (eV per atom): -3.6464

The structure in CIF format:
```
data_PmPa2O6
_symmetry_space_group_name_H-M 'P 1'
_symmetry_Int_Tables_number 1
_cell_length_a 3.8981
_cell_length_b 3.8981
_cell_length_c 9.4246
_cell_angle_alpha 90.00
_cell_angle_beta 90.00
_cell_angle_gamma 120.00
loop_
_symmetry_equiv_pos_as_xyz
'x,y,z'
loop_
_atom_site_label
_atom_site_type_symbol
_atom_site_fract_x
_atom_site_fract_y
_atom_site_fract_z
O1 O 0.0000 0.0000 0.7347
O2 O 0.6667 0.3333 0.0994
O3 O 0.3333 0.6667 0.9006
O4 O 0.6667 0.3333 0.5818
Pa1 Pa 0.3333 0.6667 0.6685
O5 O 0.0000 0.0000 0.2653
Pa2 Pa 0.6667 0.3333 0.3315
Pm1 Pm 0.0000 0.0000 0.0000
O6 O 0.3333 0.6667 0.4182
```

***

# 7
## PmPa4O10 (GGA-PBE)

Data for crystalline PmPa4O10 at its relaxed geometry.

Output
Raw total energy (eV per cell): -146.54
DOS(E_F) (states/eV per atom): 0.7163
Spin magnetization (μB/cell): 2.8
Raw formation energy (eV per atom): -3.6146

The structure in CIF format:
```
data_PmPa4O10
_symmetry_space_group_name_H-M 'P 1'
_symmetry_Int_Tables_number 1
_cell_length_a 3.8843
_cell_length_b 3.8843
_cell_length_c 15.9204
_cell_angle_alpha 82.99
_cell_angle_beta 82.99
_cell_angle_gamma 60.00
loop_
_symmetry_equiv_pos_as_xyz
'x,y,z'
loop_
_atom_site_label
_atom_site_type_symbol
_atom_site_fract_x
_atom_site_fract_y
_atom_site_fract_z
O1 O 0.0530 0.0530 0.8411
O2 O 0.2493 0.2493 0.2522
Pa1 Pa 0.3996 0.3996 0.8011
O3 O 0.5496 0.5496 0.3512
O4 O 0.3533 0.3533 0.9401
Pa2 Pa 0.1999 0.1999 0.4002
O5 O 0.6467 0.6467 0.0599
O6 O 0.4504 0.4504 0.6488
Pa3 Pa 0.6004 0.6004 0.1989
Pm1 Pm 0.0000 0.0000 0.0000
O7 O 0.1500 0.1500 0.5501
Pa4 Pa 0.8001 0.8001 0.5998
O8 O 0.7507 0.7507 0.7478
O9 O 0.9470 0.9470 0.1589
O10 O 0.8500 0.8500 0.4499
```

***

# 8
## PmPaO2 (GGA-PBE)

Data for crystalline PmPaO2 at its relaxed geometry.

Output
Distance to the lowest polymorph of the same formula (meV/atom): 798
Raw total energy (eV per cell): -31.40
DOS(E_F) (states/eV per atom): 1.2202
Spin magnetization (μB/cell): 1.3
Raw formation energy (eV per atom): -1.8095

The structure in CIF format:
```
data_PmPaO2
_symmetry_space_group_name_H-M 'P 1'
_symmetry_Int_Tables_number 1
_cell_length_a 3.0991
_cell_length_b 3.0991
_cell_length_c 6.1862
_cell_angle_alpha 90.00
_cell_angle_beta 90.00
_cell_angle_gamma 90.00
loop_
_symmetry_equiv_pos_as_xyz
'x,y,z'
loop_
_atom_site_label
_atom_site_type_symbol
_atom_site_fract_x
_atom_site_fract_y
_atom_site_fract_z
Pm1 Pm 0.5000 0.5000 0.5000
Pa1 Pa 0.5000 0.5000 0.0000
O1 O 0.0000 0.0000 0.2360
O2 O 0.0000 0.0000 0.7640
```

***

# 9
## Pm2Pa2O7 (GGA-PBE)

Data for crystalline Pm2Pa2O7 at its relaxed geometry.

Output
Distance to the lowest polymorph of the same formula (meV/atom): 0
Raw total energy (eV per cell): -203.67
DOS(E_F) (states/eV per atom): 0.1720
Spin magnetization (μB/cell): 0.1
Raw formation energy (eV per atom): -3.5124

The structure in CIF format:
```
data_Pm2Pa2O7
_symmetry_space_group_name_H-M 'P 1'
_symmetry_Int_Tables_number 1
_cell_length_a 7.7745
_cell_length_b 7.7745
_cell_length_c 7.7745
_cell_angle_alpha 60.00
_cell_angle_beta 60.00
_cell_angle_gamma 60.00
loop_
_symmetry_equiv_pos_as_xyz
'x,y,z'
loop_
_atom_site_label
_atom_site_type_symbol
_atom_site_fract_x
_atom_site_fract_y
_atom_site_fract_z
O1 O 0.0207 0.4793 0.4793
O2 O 0.0207 0.0207 0.4793
Pa1 Pa 0.6250 0.1250 0.1250
Pa2 Pa 0.1250 0.1250 0.1250
Pm1 Pm 0.1250 0.6250 0.6250
O3 O 0.2293 0.7707 0.7707
O4 O 0.7707 0.2293 0.2293
O5 O 0.4793 0.0207 0.0207
O6 O 0.7500 0.7500 0.7500
Pa3 Pa 0.1250 0.6250 0.1250
O7 O 0.0207 0.4793 0.0207
O8 O 0.5000 0.5000 0.5000
O9 O 0.4793 0.4793 0.0207
O10 O 0.2293 0.7707 0.2293
Pm2 Pm 0.6250 0.1250 0.6250
O11 O 0.7707 0.7707 0.2293
O12 O 0.2293 0.2293 0.7707
O13 O 0.4793 0.0207 0.4793
O14 O 0.7707 0.2293 0.7707
Pa4 Pa 0.1250 0.1250 0.6250
Pm3 Pm 0.6250 0.6250 0.1250
Pm4 Pm 0.6250 0.6250 0.6250
```

***

# 10
## Pm2Pa2O7 (GGA-PBE)

Data for crystalline Pm2Pa2O7 at its relaxed geometry.

Output
Distance to the lowest polymorph of the same formula (meV/atom): 69
Raw total energy (eV per cell): -101.08
DOS(E_F) (states/eV per atom): 0.3416
Spin magnetization (μB/cell): 0.0
Raw formation energy (eV per atom): -3.4432

The structure in CIF format:
```
data_Pm2Pa2O7
_symmetry_space_group_name_H-M 'P 1'
_symmetry_Int_Tables_number 1
_cell_length_a 5.5294
_cell_length_b 5.5704
_cell_length_c 5.5294
_cell_angle_alpha 90.00
_cell_angle_beta 93.13
_cell_angle_gamma 90.00
loop_
_symmetry_equiv_pos_as_xyz
'x,y,z'
loop_
_atom_site_label
_atom_site_type_symbol
_atom_site_fract_x
_atom_site_fract_y
_atom_site_fract_z
O1 O 0.0000 0.2394 0.5000
O2 O 0.5000 0.7604 0.5000
Pa1 Pa 0.7337 0.0000 0.2663
O3 O 0.0000 0.7606 0.5000
O4 O 0.5000 0.2394 0.0000
Pa2 Pa 0.2663 0.0000 0.7337
Pm1 Pm 0.2606 0.5000 0.2606
O5 O 0.5000 0.7606 0.0000
O6 O 0.0000 0.0000 0.0000
O7 O 0.5000 0.2396 0.5000
Pm2 Pm 0.7394 0.5000 0.7394
```